Entry 1:
Ga2TcBiO8 | GGA-PBE | relaxed

Calculated values
Crystal system: orthorhombic

POSCAR file:
```
Ga2TcBiO8
1.0
3.313 -3.316 0.000
3.313 3.316 0.000
0.000 0.000 6.404
Ga Tc Bi O
2 1 1 8
Direct
0.000 0.000 0.248
0.000 0.000 0.752
0.500 0.500 0.000
0.500 0.500 0.500
0.177 0.177 0.500
0.207 0.207 0.000
0.300 0.700 0.221
0.300 0.700 0.779
0.700 0.300 0.221
0.700 0.300 0.779
0.793 0.793 0.000
0.823 0.823 0.500
```

Entry 2:
GaBiTeO6 | GGA-PBE | relaxed

Calculated values
Crystal system: trigonal

POSCAR file:
```
GaBiTeO6
1.0
5.233 0.000 0.000
-2.616 4.531 0.000
0.000 0.000 10.080
Ga Bi Te O
2 2 2 12
Direct
0.333 0.667 0.250
0.667 0.333 0.750
0.000 0.000 0.000
0.000 0.000 0.500
0.333 0.667 0.750
0.667 0.333 0.250
0.007 0.374 0.642
0.007 0.634 0.858
0.366 0.374 0.858
0.366 0.993 0.642
0.374 0.007 0.142
0.374 0.366 0.358
0.626 0.634 0.642
0.626 0.993 0.858
0.634 0.007 0.358
0.634 0.626 0.142
0.993 0.366 0.142
0.993 0.626 0.358
```

no.,DFT total energy (eV per atom)
1,-6.374
2,-5.780